[1]
Material: TeWO6
Method: DFT, GGA-PBEsol
State: relaxed

The space group is R-3 (No. 148, hexagonal axes) and the conventional cell measures 5.0866, 5.0866 and 13.1591 Å, with angles of 90.00, 90.00 and 120.00 degrees. The asymmetric unit holds Te at (0.0000, 0.0000, 0.0000), W at (0.0000, 0.0000, 0.5000) and O at (0.9998, 0.3939, 0.7506).

The calculation puts the offset from the most stable computed form at 0.00 eV/f.u. For the uncorrected formation energy, the calculation gives -1.473 eV/atom. The raw total energy comes out at -0.557 Ry/atom. The calculation puts the size of the total moment at 0.000 μB per cell. The value obtained for the density of states at the Fermi level is 0.00 states/eV/f.u.

=====

[2]
Material: TeWO6
Method: DFT, GGA-PBEsol
State: relaxed

The space group is Fm-3m (No. 225) and the conventional cell measures 7.580, 7.580 and 7.580 Å, with angles of 90.00, 90.00 and 90.00 degrees. The asymmetric unit holds Te at (0.000, 0.000, 0.000), W at (0.000, 0.000, 0.500) and O at (0.000, 0.000, 0.250).

The calculation puts the offset from the most stable computed form at 0.26 eV/f.u. For the uncorrected formation energy, the calculation gives -1.440 eV/atom. The raw total energy comes out at -0.554 Ry/atom. The calculation puts the size of the total moment at 0.000 μB per cell.

=====

[3]
Material: ZnTeWO2
Method: DFT, GGA-PBEsol
State: relaxed

The space group is P4/mmm (No. 123) and the conventional cell measures 3.850, 3.850 and 5.714 Å, with angles of 90.00, 90.00 and 90.00 degrees. The asymmetric unit holds Zn at (0.000, 0.000, 0.000), Te at (0.500, 0.500, 0.000), W at (0.500, 0.500, 0.500) and O at (0.000, 0.500, 0.500).

For the uncorrected formation energy, the calculation gives -0.974 eV/atom. The raw total energy comes out at -0.504 Ry/atom. The calculation puts the size of the total moment at 0.000 μB per cell. The value obtained for the density of states at the Fermi level is 2.93 states/eV/f.u.

=====

Question: Which formula does entry 3 have?
Answer: ZnTeWO2